[1]
A plane-wave DFT calculation with PBE-GGA was carried out for TaBe2Cu after structural relaxation.

Output
VASP energy ... -5.56 eV/atom
SG ... F-43m (216)

Structure (CIF):
```
data_TaBe2Cu
_symmetry_space_group_name_H-M 'P 1'
_symmetry_Int_Tables_number 1
_cell_length_a 4.075
_cell_length_b 4.075
_cell_length_c 4.075
_cell_angle_alpha 60.00
_cell_angle_beta 60.00
_cell_angle_gamma 60.00
loop_
_symmetry_equiv_pos_as_xyz
'x,y,z'
loop_
_atom_site_label
_atom_site_fract_x
_atom_site_fract_y
_atom_site_fract_z
Be1 0.750 0.750 0.750
Be2 0.000 0.000 0.000
Ta1 0.500 0.500 0.500
Cu1 0.250 0.250 0.250
```

***

[2]
A plane-wave DFT calculation with PBE-GGA was carried out for TaBeTlCu after structural relaxation.

Output
Offset from the most stable computed form ... 0.000 eV/atom
SG ... F-43m (216)

Structure (CIF):
```
data_TaBeTlCu
_symmetry_space_group_name_H-M 'P 1'
_symmetry_Int_Tables_number 1
_cell_length_a 4.439
_cell_length_b 4.439
_cell_length_c 4.439
_cell_angle_alpha 60.00
_cell_angle_beta 60.00
_cell_angle_gamma 60.00
loop_
_symmetry_equiv_pos_as_xyz
'x,y,z'
loop_
_atom_site_label
_atom_site_fract_x
_atom_site_fract_y
_atom_site_fract_z
Cu1 0.750 0.750 0.750
Be1 0.250 0.250 0.250
Ta1 0.500 0.500 0.500
Tl1 0.000 0.000 0.000
```

***

[3]
A plane-wave DFT calculation with PBE-GGA was carried out for TaBeTlCu after structural relaxation.

Output
Offset from the most stable computed form ... 0.129 eV/atom
SG ... F-43m (216)

Structure (CIF):
```
data_TaBeTlCu
_symmetry_space_group_name_H-M 'P 1'
_symmetry_Int_Tables_number 1
_cell_length_a 4.506
_cell_length_b 4.506
_cell_length_c 4.506
_cell_angle_alpha 60.00
_cell_angle_beta 60.00
_cell_angle_gamma 60.00
loop_
_symmetry_equiv_pos_as_xyz
'x,y,z'
loop_
_atom_site_label
_atom_site_fract_x
_atom_site_fract_y
_atom_site_fract_z
Cu1 0.750 0.750 0.750
Ta1 0.250 0.250 0.250
Tl1 0.000 0.000 0.000
Be1 0.500 0.500 0.500
```

***

[4]
A plane-wave DFT calculation with PBE-GGA was carried out for TbBeCu after structural relaxation.

Output
VASP energy ... -3.80 eV/atom
SG ... F-43m (216)

Structure (CIF):
```
data_TbBeCu
_symmetry_space_group_name_H-M 'P 1'
_symmetry_Int_Tables_number 1
_cell_length_a 4.346
_cell_length_b 4.346
_cell_length_c 4.346
_cell_angle_alpha 60.00
_cell_angle_beta 60.00
_cell_angle_gamma 60.00
loop_
_symmetry_equiv_pos_as_xyz
'x,y,z'
loop_
_atom_site_label
_atom_site_fract_x
_atom_site_fract_y
_atom_site_fract_z
Tb1 0.750 0.750 0.750
Be1 0.250 0.250 0.250
Cu1 0.000 0.000 0.000
```

***

[5]
A plane-wave DFT calculation with PBE-GGA was carried out for BeCuTe2 after structural relaxation.

Output
VASP energy ... -2.62 eV/atom
SG ... F-43m (216)

Structure (CIF):
```
data_BeCuTe2
_symmetry_space_group_name_H-M 'P 1'
_symmetry_Int_Tables_number 1
_cell_length_a 4.885
_cell_length_b 4.885
_cell_length_c 4.885
_cell_angle_alpha 60.00
_cell_angle_beta 60.00
_cell_angle_gamma 60.00
loop_
_symmetry_equiv_pos_as_xyz
'x,y,z'
loop_
_atom_site_label
_atom_site_fract_x
_atom_site_fract_y
_atom_site_fract_z
Cu1 0.250 0.250 0.250
Te1 0.750 0.750 0.750
Be1 0.500 0.500 0.500
Te2 0.000 0.000 0.000
```

***

[6]
A plane-wave DFT calculation with PBE-GGA was carried out for BeCuTe after structural relaxation.

Output
Offset from the most stable computed form ... 0.000 eV/atom
SG ... F-43m (216)

Structure (CIF):
```
data_BeCuTe
_symmetry_space_group_name_H-M 'P 1'
_symmetry_Int_Tables_number 1
_cell_length_a 4.173
_cell_length_b 4.173
_cell_length_c 4.173
_cell_angle_alpha 60.00
_cell_angle_beta 60.00
_cell_angle_gamma 60.00
loop_
_symmetry_equiv_pos_as_xyz
'x,y,z'
loop_
_atom_site_label
_atom_site_fract_x
_atom_site_fract_y
_atom_site_fract_z
Cu1 0.250 0.250 0.250
Be1 0.000 0.000 0.000
Te1 0.750 0.750 0.750
```

***

[7]
A plane-wave DFT calculation with PBE-GGA was carried out for Be2TlCu after structural relaxation.

Output
VASP energy ... -2.72 eV/atom
SG ... F-43m (216)

Structure (CIF):
```
data_Be2TlCu
_symmetry_space_group_name_H-M 'P 1'
_symmetry_Int_Tables_number 1
_cell_length_a 4.280
_cell_length_b 4.280
_cell_length_c 4.280
_cell_angle_alpha 60.00
_cell_angle_beta 60.00
_cell_angle_gamma 60.00
loop_
_symmetry_equiv_pos_as_xyz
'x,y,z'
loop_
_atom_site_label
_atom_site_fract_x
_atom_site_fract_y
_atom_site_fract_z
Tl1 0.500 0.500 0.500
Be1 0.000 0.000 0.000
Cu1 0.250 0.250 0.250
Be2 0.750 0.750 0.750
```

***

[8]
A plane-wave DFT calculation with PBE-GGA was carried out for BeTl2Cu after structural relaxation.

Output
VASP energy ... -2.30 eV/atom
SG ... F-43m (216)

Structure (CIF):
```
data_BeTl2Cu
_symmetry_space_group_name_H-M 'P 1'
_symmetry_Int_Tables_number 1
_cell_length_a 4.906
_cell_length_b 4.906
_cell_length_c 4.906
_cell_angle_alpha 60.00
_cell_angle_beta 60.00
_cell_angle_gamma 60.00
loop_
_symmetry_equiv_pos_as_xyz
'x,y,z'
loop_
_atom_site_label
_atom_site_fract_x
_atom_site_fract_y
_atom_site_fract_z
Tl1 0.750 0.750 0.750
Tl2 0.000 0.000 0.000
Be1 0.500 0.500 0.500
Cu1 0.250 0.250 0.250
```

***

[9]
A plane-wave DFT calculation with PBE-GGA was carried out for BeTlZnCu after structural relaxation.

Output
Offset from the most stable computed form ... 0.000 eV/atom
SG ... F-43m (216)

Structure (CIF):
```
data_BeTlZnCu
_symmetry_space_group_name_H-M 'P 1'
_symmetry_Int_Tables_number 1
_cell_length_a 4.438
_cell_length_b 4.438
_cell_length_c 4.438
_cell_angle_alpha 60.00
_cell_angle_beta 60.00
_cell_angle_gamma 60.00
loop_
_symmetry_equiv_pos_as_xyz
'x,y,z'
loop_
_atom_site_label
_atom_site_fract_x
_atom_site_fract_y
_atom_site_fract_z
Be1 0.250 0.250 0.250
Zn1 0.500 0.500 0.500
Cu1 0.750 0.750 0.750
Tl1 0.000 0.000 0.000
```

***

[10]
A plane-wave DFT calculation with PBE-GGA was carried out for UBeCu after structural relaxation.

Output
Offset from the most stable computed form ... 0.601 eV/atom
SG ... F-43m (216)

Structure (CIF):
```
data_UBeCu
_symmetry_space_group_name_H-M 'P 1'
_symmetry_Int_Tables_number 1
_cell_length_a 4.393
_cell_length_b 4.393
_cell_length_c 4.393
_cell_angle_alpha 60.00
_cell_angle_beta 60.00
_cell_angle_gamma 60.00
loop_
_symmetry_equiv_pos_as_xyz
'x,y,z'
loop_
_atom_site_label
_atom_site_fract_x
_atom_site_fract_y
_atom_site_fract_z
Be1 0.250 0.250 0.250
U1 0.000 0.000 0.000
Cu1 0.750 0.750 0.750
```

***

[11]
A plane-wave DFT calculation with PBE-GGA was carried out for UBeCu after structural relaxation.

Output
Offset from the most stable computed form ... 0.000 eV/atom
SG ... F-43m (216)

Structure (CIF):
```
data_UBeCu
_symmetry_space_group_name_H-M 'P 1'
_symmetry_Int_Tables_number 1
_cell_length_a 4.257
_cell_length_b 4.257
_cell_length_c 4.257
_cell_angle_alpha 60.00
_cell_angle_beta 60.00
_cell_angle_gamma 60.00
loop_
_symmetry_equiv_pos_as_xyz
'x,y,z'
loop_
_atom_site_label
_atom_site_fract_x
_atom_site_fract_y
_atom_site_fract_z
Cu1 0.000 0.000 0.000
Be1 0.250 0.250 0.250
U1 0.750 0.750 0.750
```

***

[12]
A plane-wave DFT calculation with PBE-GGA was carried out for YBe2Cu2 after structural relaxation.

Output
VASP energy ... -4.37 eV/atom
SG ... I4/mmm (139)

Structure (CIF):
```
data_YBe2Cu2
_symmetry_space_group_name_H-M 'P 1'
_symmetry_Int_Tables_number 1
_cell_length_a 5.364
_cell_length_b 5.364
_cell_length_c 5.364
_cell_angle_alpha 137.32
_cell_angle_beta 137.32
_cell_angle_gamma 61.95
loop_
_symmetry_equiv_pos_as_xyz
'x,y,z'
loop_
_atom_site_label
_atom_site_fract_x
_atom_site_fract_y
_atom_site_fract_z
Be1 0.250 0.750 0.500
Y1 0.000 0.000 0.000
Be2 0.750 0.250 0.500
Cu1 0.367 0.367 0.000
Cu2 0.633 0.633 0.000
```

***

[13]
A plane-wave DFT calculation with PBE-GGA was carried out for YBeCu after structural relaxation.

Output
Offset from the most stable computed form ... 0.019 eV/atom
SG ... F-43m (216)

Structure (CIF):
```
data_YBeCu
_symmetry_space_group_name_H-M 'P 1'
_symmetry_Int_Tables_number 1
_cell_length_a 4.291
_cell_length_b 4.291
_cell_length_c 4.291
_cell_angle_alpha 60.00
_cell_angle_beta 60.00
_cell_angle_gamma 60.00
loop_
_symmetry_equiv_pos_as_xyz
'x,y,z'
loop_
_atom_site_label
_atom_site_fract_x
_atom_site_fract_y
_atom_site_fract_z
Cu1 0.250 0.250 0.250
Be1 0.000 0.000 0.000
Y1 0.750 0.750 0.750
```

***

[14]
A plane-wave DFT calculation with PBE-GGA was carried out for YBeCu after structural relaxation.

Output
Offset from the most stable computed form ... 0.000 eV/atom
SG ... F-43m (216)

Structure (CIF):
```
data_YBeCu
_symmetry_space_group_name_H-M 'P 1'
_symmetry_Int_Tables_number 1
_cell_length_a 4.338
_cell_length_b 4.338
_cell_length_c 4.338
_cell_angle_alpha 60.00
_cell_angle_beta 60.00
_cell_angle_gamma 60.00
loop_
_symmetry_equiv_pos_as_xyz
'x,y,z'
loop_
_atom_site_label
_atom_site_fract_x
_atom_site_fract_y
_atom_site_fract_z
Y1 0.750 0.750 0.750
Cu1 0.000 0.000 0.000
Be1 0.250 0.250 0.250
```